PaNi2Rh2: optimized geometry, PBE.

```
PaNi2Rh2
1.0
4.2941 -1.9903 0.0000
4.2941 1.9903 0.0000
-0.2842 0.0000 8.8402
Pa Ni Rh
2 4 4
Direct
0.0967 0.0967 0.2956
0.9033 0.9033 0.7044
0.2023 0.2023 0.6004
0.2957 0.2957 0.9039
0.7043 0.7043 0.0961
0.7977 0.7977 0.3996
0.0000 0.0000 0.0000
0.3886 0.3886 0.1903
0.5000 0.5000 0.5000
0.6114 0.6114 0.8097
```

Computed properties:
ΔE_f ... -245 kJ/mol of formula units
Uncorrected energy ... -7.660 eV/atom
Symmetry ... C2/m, No. 12

***

KBaTa2: optimized geometry, PBE.

```
KBaTa2
1.0
4.5846 0.0000 0.0000
0.0000 4.5846 0.0000
0.0000 0.0000 7.7820
K Ba Ta
1 1 2
Direct
0.0000 0.0000 0.0000
0.0000 0.0000 0.5000
0.5000 0.5000 0.3515
0.5000 0.5000 0.6485
```

Computed properties:
ΔE_f ... 646 kJ/mol of formula units
Uncorrected energy ... -5.008 eV/atom
Symmetry ... P4/mmm, No. 123

***

HgSb3S: optimized geometry, PBE.

```
HgSb3S
1.0
5.5294 0.0000 0.0000
0.0000 5.5294 0.0000
0.0000 0.0000 5.5294
Hg Sb S
1 3 1
Direct
0.0000 0.0000 0.0000
0.0000 0.0000 0.5000
0.0000 0.5000 0.0000
0.5000 0.0000 0.0000
0.5000 0.5000 0.5000
```

Computed properties:
Uncorrected energy ... -2.265 eV/atom
Symmetry ... Pm-3m, No. 221
Formation energy without anion corrections ... 1.0938 eV per atom